PrHo2Ge | PBE | optimized geometry

Its theoretical density is 7.99 g/cm3. For the formation energy, the calculation gives -323 meV/atom. Its density of states at the Fermi level is 4.58 states/eV/cell. For the offset from the most stable computed form, the calculation gives 0 meV per atom.

The space group is P4/mmm (No. 123) and the conventional cell measures 3.608, 3.608 and 8.675 Å, with angles of 90.00, 90.00 and 90.00 degrees. The distinct sites, in fractional coordinates, are Pr at (0.000, 0.000, 0.000), Ho at (0.500, 0.500, 0.303) and Ge at (0.000, 0.000, 0.500).